# BaCrCd2 | Alexandria via LeMat-Bulk | PBE | relaxed
# Raw total energy in eV/f.u.: -10.3
# Energy of formation in eV/atom: 0.77
# Density of states at the Fermi level in states/eV per atom: 1.76
# M_tot in μB per cell: 3.731
data_BaCrCd2
_cell_length_a 7.6190
_cell_length_b 7.6190
_cell_length_c 7.6190
_cell_angle_alpha 90.00
_cell_angle_beta 90.00
_cell_angle_gamma 90.00
_symmetry_space_group_name_H-M 'F m -3 m'
_symmetry_Int_Tables_number 225
_symmetry_space_group_name_Hall '-F 4 2 3'
loop_
_atom_site_label
_atom_site_fract_x
_atom_site_fract_y
_atom_site_fract_z
Ba1 0.0000 0.0000 0.0000
Cr1 0.0000 0.0000 0.5000
Cd1 0.2500 0.2500 0.2500